Entry 1:
Below is a relaxed FeNi14As crystal, with properties calculated at the GGA-PBE level.

Cell lengths 5.033, 5.033, 7.009 Å; angles 90.00, 90.00, 90.00 degrees
Site moments in Bohr magnetons follow the coordinates.
Fractional coordinates of all 16 atoms:
Ni 0.624 0.126 0.752  0.52
Ni 0.126 0.624 0.752  0.52
Ni 0.375 0.875 0.500  0.43
Ni 0.624 0.624 0.248  0.52
Ni 0.126 0.126 0.752  0.52
Ni 0.375 0.375 0.000  0.53
Ni 0.624 0.126 0.248  0.52
Ni 0.126 0.624 0.248  0.52
Ni 0.126 0.126 0.248  0.52
Ni 0.875 0.375 0.000  0.60
Ni 0.375 0.875 0.000  0.60
Ni 0.624 0.624 0.752  0.52
Ni 0.875 0.875 0.000  0.49
Ni 0.875 0.375 0.500  0.43
As 0.875 0.875 0.500  0.01
Fe 0.375 0.375 0.500  2.82

## Properties
- DFT formation energy: -0.04 eV per atom
- Total magnetization: 9.6 Bohr magnetons per cell



Entry 2:
Below is a relaxed FeNiAs3 crystal, with properties calculated at the GGA-PBE level.

Cell lengths 4.504, 4.504, 4.504 Å; angles 90.00, 90.00, 90.00 degrees
Fractional coordinates of all 5 atoms:
Ni 0.500 0.500 0.500
As 0.500 0.000 0.000
As 0.000 0.500 0.000
As 0.000 0.000 0.500
Fe 0.000 0.000 0.000

## Properties
- DFT formation energy: 0.64 eV per atom
- Total magnetization: 0.0 Bohr magnetons per cell



Entry 3:
Below is a relaxed FeNiAs crystal, with properties calculated at the GGA-PBE level.

Cell lengths 3.841, 3.841, 3.841 Å; angles 60.00, 60.00, 60.00 degrees
Site moments in Bohr magnetons follow the coordinates.
Fractional coordinates of all 3 atoms:
As 0.750 0.750 0.750  -0.03
Fe 0.000 0.000 0.000  0.49
Ni 0.500 0.500 0.500  -0.05

## Properties
- DFT formation energy: -0.08 eV per atom
- Total magnetization: 0.4 Bohr magnetons per cell



Entry 4:
Below is a relaxed FeNiAs2 crystal, with properties calculated at the GGA-PBE level.

Cell lengths 9.180, 9.180, 9.180 Å; angles 18.21, 18.21, 18.21 degrees
Site moments in Bohr magnetons follow the coordinates.
Fractional coordinates of all 4 atoms:
Ni 0.755 0.755 0.755  0.12
As 0.026 0.026 0.026  -0.03
As 0.224 0.224 0.224  -0.13
Fe 0.494 0.494 0.494  1.97

## Properties
- DFT formation energy: 0.17 eV per atom
- Total magnetization: 1.8 Bohr magnetons per cell



Entry 5:
Below is a relaxed FeNiAs2 crystal, with properties calculated at the GGA-PBE level.

Cell lengths 4.208, 4.208, 3.122 Å; angles 90.00, 90.00, 90.00 degrees
Site moments in Bohr magnetons follow the coordinates.
Fractional coordinates of all 4 atoms:
As 0.000 0.000 0.000  -0.01
As 0.500 0.500 0.000  -0.01
Fe 0.500 0.000 0.500  2.13
Ni 0.000 0.500 0.500  0.16

## Properties
- DFT formation energy: 0.08 eV per atom
- Total magnetization: 2.2 Bohr magnetons per cell



Entry 6:
Below is a relaxed FeNiAs2 crystal, with properties calculated at the GGA-PBE level.

Cell lengths 4.040, 4.040, 5.090 Å; angles 77.52, 77.52, 43.59 degrees
Site moments in Bohr magnetons follow the coordinates.
Fractional coordinates of all 4 atoms:
As 0.997 0.997 0.008  -0.03
As 0.503 0.503 0.492  -0.03
Ni 0.750 0.750 0.750  0.16
Fe 0.250 0.250 0.250  1.78

## Properties
- DFT formation energy: 0.05 eV per atom
- Total magnetization: 1.9 Bohr magnetons per cell



Entry 7:
Below is a relaxed FeNiAs2 crystal, with properties calculated at the GGA-PBE level.

Cell lengths 5.302, 5.302, 6.430 Å; angles 65.65, 65.65, 90.00 degrees
Fractional coordinates of all 8 atoms:
Ni 0.000 0.000 0.000
Ni 0.750 0.250 0.500
As 0.875 0.867 0.750
As 0.617 0.125 0.250
As 0.375 0.383 0.750
As 0.133 0.625 0.250
Fe 0.250 0.750 0.500
Fe 0.500 0.500 0.000

## Properties
- DFT formation energy: 0.15 eV per atom
- Total magnetization: 0.0 Bohr magnetons per cell



Entry 8:
Below is a relaxed FeNi12As3 crystal, with properties calculated at the GGA-PBE level.

Cell lengths 3.578, 3.578, 14.342 Å; angles 90.00, 90.00, 90.00 degrees
Site moments in Bohr magnetons follow the coordinates.
Fractional coordinates of all 16 atoms:
As 0.000 0.000 0.754  0.01
As 0.000 0.000 0.500  0.00
As 0.000 0.000 0.246  0.01
Ni 0.000 0.500 0.375  -0.03
Ni 0.500 0.000 0.375  -0.03
Ni 0.000 0.500 0.122  0.39
Ni 0.000 0.500 0.878  0.39
Ni 0.500 0.000 0.122  0.39
Ni 0.500 0.000 0.878  0.39
Ni 0.500 0.500 0.000  0.57
Ni 0.500 0.500 0.251  0.08
Ni 0.500 0.500 0.749  0.08
Ni 0.500 0.500 0.500  0.00
Ni 0.000 0.500 0.625  -0.03
Ni 0.500 0.000 0.625  -0.03
Fe 0.000 0.000 0.000  2.98

## Properties
- DFT formation energy: -0.14 eV per atom
- Total magnetization: 5.0 Bohr magnetons per cell



Entry 9:
Below is a relaxed FeNiAs crystal, with properties calculated at the GGA-PBE level.

Cell lengths 3.910, 3.910, 3.910 Å; angles 60.00, 60.00, 60.00 degrees
Site moments in Bohr magnetons follow the coordinates.
Fractional coordinates of all 3 atoms:
Fe 0.750 0.750 0.750  1.81
Ni 0.000 0.000 0.000  0.56
As 0.500 0.500 0.500  -0.06

## Properties
- DFT formation energy: 0.03 eV per atom
- Total magnetization: 2.3 Bohr magnetons per cell



Entry 10:
Below is a relaxed FeNiAs2 crystal, with properties calculated at the GGA-PBE level.

Cell lengths 4.600, 3.127, 4.454 Å; angles 69.60, 90.00, 90.00 degrees
Site moments in Bohr magnetons follow the coordinates.
Fractional coordinates of all 4 atoms:
Fe 0.000 0.423 0.530  1.46
As 0.000 0.719 0.941  -0.06
As 0.500 0.531 0.309  -0.03
Ni 0.500 0.827 0.719  0.07

## Properties
- DFT formation energy: -0.06 eV per atom
- Total magnetization: 1.4 Bohr magnetons per cell



Entry 11:
Below is a relaxed Fe2Ni3As3 crystal, with properties calculated at the GGA-PBE level.

Cell lengths 5.204, 7.031, 7.031 Å; angles 120.00, 90.00, 90.00 degrees
Site moments in Bohr magnetons follow the coordinates.
Fractional coordinates of all 16 atoms:
Ni 0.750 0.355 0.000  0.11
Ni 0.750 0.000 0.355  0.11
Ni 0.750 0.645 0.645  0.11
Ni 0.250 0.645 0.000  0.11
Ni 0.250 0.000 0.645  0.11
Ni 0.250 0.355 0.355  0.11
Fe 0.000 0.333 0.667  2.56
Fe 0.500 0.667 0.333  2.56
Fe 0.500 0.333 0.667  2.56
Fe 0.000 0.667 0.333  2.56
As 0.750 0.312 0.312  -0.02
As 0.250 0.000 0.312  -0.02
As 0.250 0.688 0.688  -0.02
As 0.750 0.000 0.688  -0.02
As 0.250 0.312 0.000  -0.02
As 0.750 0.688 0.000  -0.02

## Properties
- DFT formation energy: -0.10 eV per atom
- Total magnetization: 10.8 Bohr magnetons per cell



Entry 12:
Below is a relaxed FeNiAs2 crystal, with properties calculated at the GGA-PBE level.

Cell lengths 3.039, 3.027, 6.608 Å; angles 63.21, 90.00, 90.00 degrees
Site moments in Bohr magnetons follow the coordinates.
Fractional coordinates of all 4 atoms:
Fe 0.500 0.250 0.250  1.54
Ni 0.500 0.750 0.750  0.06
As 0.000 0.511 0.493  -0.03
As 0.000 0.989 0.007  -0.03

## Properties
- DFT formation energy: 0.07 eV per atom
- Total magnetization: 1.5 Bohr magnetons per cell



Entry 13:
Below is a relaxed Fe2NiAs8 crystal, with properties calculated at the GGA-PBE level.

Cell lengths 5.295, 8.791, 8.791 Å; angles 45.80, 47.43, 47.43 degrees
Fractional coordinates of all 11 atoms:
As 0.747 0.386 0.386
As 0.808 0.408 0.868
As 0.192 0.592 0.132
As 0.192 0.132 0.592
As 0.808 0.868 0.408
As 0.372 0.099 0.099
As 0.628 0.901 0.901
As 0.253 0.614 0.614
Fe 0.283 0.748 0.748
Fe 0.717 0.252 0.252
Ni 0.000 0.000 0.000

## Properties
- DFT formation energy: 0.05 eV per atom
- Total magnetization: 0.0 Bohr magnetons per cell